Below is a geometry-optimized CsTbDyTe3 structure, with properties calculated at the GGA-PBE level.

Summary:
- M_tot (μB per formula unit) = 0.21
- DFT total energy (eV per atom) = -4.486
- ΔE to the lowest computed polymorph (meV/atom) = 8

Cell: 4.782 17.543 11.844 Å, 90.00 90.00 90.00°
Space group Cmcm (No. 63)
Unique sites:
Cs 0.000 0.245 0.250 [4 per cell]
Tb 0.000 0.032 0.750 [4 per cell]
Dy 0.000 0.500 0.000 [4 per cell]
Te 0.000 0.119 0.539 [8 per cell]
Te 0.000 0.434 0.750 [4 per cell]